1.
## RbTa2Ti2 (PBE)

Data for a geometry-optimized RbTa2Ti2 structure.

## Properties
The value obtained for the total energy is -73.1 eV for the cell shown. The total moment comes out at 0.00 μB per formula unit. For the formation energy, the calculation gives 379 kJ/mol of formula units. As for the energy above the most stable polymorph in this dataset: 0.0000 eV/atom.

Lattice parameters (Å, degrees): 9.017 9.017 2.880 90.00 90.00 90.00
Sites, in units of the cell vectors:
Ta1 0.371 0.129 0.500
Ta2 0.629 0.871 0.500
Ta3 0.871 0.371 0.500
Ta4 0.129 0.629 0.500
Rb1 0.000 0.000 0.000
Rb2 0.500 0.500 0.000
Ti1 0.132 0.368 0.000
Ti2 0.368 0.868 0.000
Ti3 0.632 0.132 0.000
Ti4 0.868 0.632 0.000

***

2.
## RbTaTi2 (PBE)

Data for a geometry-optimized RbTaTi2 structure.

## Properties
The value obtained for the total energy is -23.1 eV for the cell shown. The total moment comes out at 0.00 μB per formula unit. For the formation energy, the calculation gives 532 kJ/mol of formula units. As for the energy above the most stable polymorph in this dataset: 0.0000 eV/atom.

Lattice parameters (Å, degrees): 4.929 4.929 4.929 60.00 60.00 60.00
Sites, in units of the cell vectors:
Ta1 0.500 0.500 0.500
Ti1 0.250 0.250 0.250
Ti2 0.750 0.750 0.750
Rb1 0.000 0.000 0.000

***

3.
## RbTa2Ti2 (PBE)

Data for a geometry-optimized RbTa2Ti2 structure.

## Properties
The value obtained for the total energy is -35.5 eV for the cell shown. The total moment comes out at 1.49 μB per formula unit. For the formation energy, the calculation gives 474 kJ/mol of formula units. As for the energy above the most stable polymorph in this dataset: 0.1967 eV/atom.

Lattice parameters (Å, degrees): 3.987 3.987 9.300 77.62 77.62 90.00
Site moments in Bohr magnetons follow the coordinates.
Sites, in units of the cell vectors:
Ta1 0.250 0.750 0.500  -0.02
Ta2 0.750 0.250 0.500  -0.02
Rb1 0.000 0.000 0.000  0.02
Ti1 0.644 0.644 0.713  0.56
Ti2 0.356 0.356 0.287  0.56

***

4.
## RbTaTi2 (PBE)

Data for a geometry-optimized RbTaTi2 structure.

## Properties
The value obtained for the total energy is -43.9 eV for the cell shown. The total moment comes out at 0.00 μB per formula unit. For the formation energy, the calculation gives 642 kJ/mol of formula units. As for the energy above the most stable polymorph in this dataset: 0.2861 eV/atom.

Lattice parameters (Å, degrees): 7.195 7.195 8.002 63.28 63.28 90.00
Sites, in units of the cell vectors:
Ta1 0.750 0.250 0.500
Ta2 0.000 0.000 0.000
Rb1 0.500 0.500 0.000
Rb2 0.250 0.750 0.500
Ti1 0.874 0.125 0.250
Ti2 0.876 0.625 0.250
Ti3 0.875 0.124 0.750
Ti4 0.375 0.126 0.750

***

5.
## RbTa2Tl (PBE)

Data for a geometry-optimized RbTa2Tl structure.

## Properties
The value obtained for the total energy is -38.8 eV for the cell shown. The total moment comes out at 0.20 μB per formula unit. For the formation energy, the calculation gives 739 kJ/mol of formula units. As for the energy above the most stable polymorph in this dataset: 0.1247 eV/atom.

Lattice parameters (Å, degrees): 8.669 8.669 6.770 50.19 50.19 90.00
Site moments in Bohr magnetons follow the coordinates.
Sites, in units of the cell vectors:
Ta1 0.875 0.915 0.750  0.06
Ta2 0.665 0.125 0.250  0.06
Ta3 0.375 0.335 0.750  0.06
Ta4 0.085 0.625 0.250  0.06
Tl1 0.750 0.250 0.500  0.00
Tl2 0.000 0.000 0.000  0.00
Rb1 0.250 0.750 0.500  0.01
Rb2 0.500 0.500 0.000  0.01

***

6.
## Rb2TaTl (PBE)

Data for a geometry-optimized Rb2TaTl structure.

## Properties
The value obtained for the total energy is -10.3 eV for the cell shown. The total moment comes out at 4.09 μB per formula unit. For the formation energy, the calculation gives 567 kJ/mol of formula units. As for the energy above the most stable polymorph in this dataset: 0.1056 eV/atom.

Lattice parameters (Å, degrees): 6.186 6.186 6.186 60.00 60.00 60.00
Site moments in Bohr magnetons follow the coordinates.
Sites, in units of the cell vectors:
Rb1 0.750 0.750 0.750  0.03
Rb2 0.250 0.250 0.250  0.03
Tl1 0.500 0.500 0.500  0.02
Ta1 0.000 0.000 0.000  2.32

***

7.
## RbTa2Tl (PBE)

Data for a geometry-optimized RbTa2Tl structure.

## Properties
The value obtained for the total energy is -19.9 eV for the cell shown. The total moment comes out at 0.00 μB per formula unit. For the formation energy, the calculation gives 691 kJ/mol of formula units. As for the energy above the most stable polymorph in this dataset: 0.0000 eV/atom.

Lattice parameters (Å, degrees): 5.017 5.017 5.017 60.00 60.00 60.00
Sites, in units of the cell vectors:
Tl1 0.500 0.500 0.500
Ta1 0.750 0.750 0.750
Ta2 0.250 0.250 0.250
Rb1 0.000 0.000 0.000

***

8.
## RbTaTl2 (PBE)

Data for a geometry-optimized RbTaTl2 structure.

## Properties
The value obtained for the total energy is -27.5 eV for the cell shown. The total moment comes out at 0.00 μB per formula unit. For the formation energy, the calculation gives 367 kJ/mol of formula units. As for the energy above the most stable polymorph in this dataset: 0.0000 eV/atom.

Lattice parameters (Å, degrees): 6.470 6.470 9.774 70.67 70.67 90.00
Sites, in units of the cell vectors:
Ta1 0.750 0.250 0.500
Ta2 0.000 0.000 0.000
Rb1 0.500 0.500 0.000
Rb2 0.250 0.750 0.500
Tl1 0.875 0.041 0.750
Tl2 0.791 0.125 0.250
Tl3 0.959 0.625 0.250
Tl4 0.375 0.209 0.750

***

9.
## RbTaTl2 (PBE)

Data for a geometry-optimized RbTaTl2 structure.

## Properties
The value obtained for the total energy is -13.5 eV for the cell shown. The total moment comes out at 2.06 μB per formula unit. For the formation energy, the calculation gives 387 kJ/mol of formula units. As for the energy above the most stable polymorph in this dataset: 0.0521 eV/atom.

Lattice parameters (Å, degrees): 5.454 5.454 5.454 60.00 60.00 60.00
Site moments in Bohr magnetons follow the coordinates.
Sites, in units of the cell vectors:
Tl1 0.250 0.250 0.250  -0.01
Tl2 0.750 0.750 0.750  -0.01
Rb1 0.000 0.000 0.000  0.02
Ta1 0.500 0.500 0.500  1.38

***

10.
## Rb2TaTl (PBE)

Data for a geometry-optimized Rb2TaTl structure.

## Properties
The value obtained for the total energy is -21.4 eV for the cell shown. The total moment comes out at 3.94 μB per formula unit. For the formation energy, the calculation gives 526 kJ/mol of formula units. As for the energy above the most stable polymorph in this dataset: 0.0000 eV/atom.

Lattice parameters (Å, degrees): 10.193 10.193 7.859 49.57 49.57 90.00
Site moments in Bohr magnetons follow the coordinates.
Sites, in units of the cell vectors:
Ta1 0.500 0.500 0.000  2.15
Ta2 0.250 0.750 0.500  2.14
Tl1 0.000 0.000 0.000  0.05
Tl2 0.750 0.250 0.500  0.05
Rb1 0.640 0.125 0.250  0.03
Rb2 0.875 0.890 0.750  0.03
Rb3 0.375 0.360 0.750  0.03
Rb4 0.110 0.625 0.250  0.03